This record from Alexandria describes a relaxed structure of AlAgS6. The functional is GGA-PBE.

Cell: 11.3255 3.6336 14.1717 Å, 83.08 154.65 102.53°
Fractional coordinates of all 8 atoms:
S: 0.0405 0.7621 0.5632
Al: 0.0000 0.0000 0.0000
S: 0.5288 0.0721 0.6632
S: 0.1845 0.6182 0.0340
S: 0.9595 0.2379 0.4368
S: 0.8155 0.3818 0.9660
Ag: 0.5000 0.5000 0.5000
S: 0.4712 0.9279 0.3368

Properties
As for the total moment: 0.000 μB per formula unit. The crystal system is triclinic. The value obtained for the uncorrected formation energy is -104 meV/atom.

This record from Alexandria describes a relaxed structure of K2BeOs. The functional is GGA-PBE.

Cell: 3.2275 3.2261 10.0182 Å, 90.00 90.00 90.00°
Fractional coordinates of all 4 atoms:
Be: 0.5000 0.5000 0.6368
K: 0.0000 0.0000 0.9117
Os: 0.0000 0.0000 0.6076
K: 0.5000 0.5000 0.3440

Properties
As for the total moment: 0.486 μB per formula unit. The crystal system is tetragonal. For the formation energy from the elements, the calculation gives 0.626 eV/atom. Its density of states at the Fermi level is 3.18 states/eV/f.u.

This record from Alexandria describes a relaxed structure of IrRu2. The functional is GGA-PBE.

Cell: 12.1233 12.1233 12.1233 Å, 167.15 167.15 18.21°
Fractional coordinates of all 6 atoms:
Ru: 0.1704 0.6704 0.5000
Ru: 0.4204 0.4204 0.0000
Ru: 0.5796 0.5796 0.0000
Ir: 0.0000 0.0000 0.0000
Ru: 0.3296 0.8296 0.5000
Ir: 0.7500 0.2500 0.5000

Properties
As for the total moment: 0.000 μB per formula unit. The crystal system is tetragonal. For the formation energy from the elements, the calculation gives 0.252 eV/atom. Its density of states at the Fermi level is 3.76 states/eV/f.u. The calculation puts the energy above the most stable polymorph in this dataset at 0.90 eV per formula unit.

This record from Alexandria describes a relaxed structure of Y8Ho4Tm. The functional is GGA-PBE.

Cell: 7.2586 7.2586 10.1081 Å, 90.00 111.04 120.00°
Fractional coordinates of all 13 atoms:
Y: 0.5710 0.7855 0.3565
Ho: 0.0000 0.0000 0.0000
Ho: 0.5000 0.5000 0.0000
Y: 0.4290 0.2145 0.6435
Y: 0.0479 0.2505 0.2983
Y: 0.5009 0.2505 0.2983
Ho: 0.0000 0.5000 0.0000
Y: 0.4991 0.7495 0.7017
Y: 0.9521 0.7495 0.7017
Y: 0.9521 0.2026 0.7017
Tm: 0.0000 0.5000 0.5000
Ho: 0.5000 0.0000 0.0000
Y: 0.0479 0.7974 0.2983

Properties
As for the total moment: 0.000 μB per formula unit. The crystal system is trigonal. For the formation energy from the elements, the calculation gives 0.222 eV/atom. Its density of states at the Fermi level is 16.95 states/eV/f.u.

This record from Alexandria describes a relaxed structure of ZrIr2Cl. The functional is GGA-PBE.

Cell: 5.3779 5.3779 5.3779 Å, 138.38 138.38 60.32°
Fractional coordinates of all 4 atoms:
Ir: 0.5000 0.5000 0.0000
Ir: 0.0000 0.0000 0.0000
Zr: 0.2500 0.7500 0.5000
Cl: 0.7500 0.2500 0.5000

Properties
As for the total moment: 0.000 μB per formula unit. The crystal system is tetragonal. The value obtained for the uncorrected formation energy is 11 meV/atom. Its density of states at the Fermi level is 4.14 states/eV/f.u. The calculation puts the energy above the most stable polymorph in this dataset at 1.29 eV per formula unit.

This record from Alexandria describes a relaxed structure of FeNi4Os. The functional is GGA-PBE.

Cell: 4.6288 4.6288 4.6288 Å, 60.00 60.00 60.00°
Fractional coordinates of all 6 atoms:
Ni: 0.3751 0.3751 0.8746
Ni: 0.3751 0.8746 0.3751
Fe: 0.0000 0.0000 0.0000
Ni: 0.8746 0.3751 0.3751
Ni: 0.3751 0.3751 0.3751
Os: 0.7500 0.7500 0.7500

Properties
As for the total moment: 4.096 μB per formula unit. The crystal system is cubic. For the formation energy from the elements, the calculation gives 0.207 eV/atom. Its density of states at the Fermi level is 10.64 states/eV/f.u.

This record from Alexandria describes a relaxed structure of HfZrBi. The functional is GGA-PBE.

Cell: 3.7902 3.7902 5.5879 Å, 109.82 109.82 90.00°
Fractional coordinates of all 3 atoms:
Bi: 0.2834 0.2834 0.5669
Hf: 0.9485 0.9485 0.8970
Zr: 0.6181 0.6181 0.2361

Properties
As for the total moment: 0.000 μB per formula unit. The crystal system is tetragonal. For the formation energy from the elements, the calculation gives -0.204 eV/atom. Its density of states at the Fermi level is 3.00 states/eV/f.u.

This record from Alexandria describes a relaxed structure of Sm4Sb2Ru. The functional is GGA-PBE.

Cell: 4.5311 7.4615 7.6150 Å, 118.58 107.31 90.00°
Fractional coordinates of all 7 atoms:
Sm: 0.4036 0.7160 0.8072
Sm: 0.5964 0.2840 0.1928
Sm: 0.1209 0.7629 0.2419
Sb: 0.2287 0.2315 0.4574
Sb: 0.7713 0.7685 0.5426
Ru: 0.0000 0.0000 0.0000
Sm: 0.8791 0.2371 0.7581

Properties
As for the total moment: 0.127 μB per formula unit. The crystal system is monoclinic. The value obtained for the uncorrected formation energy is -582 meV/atom. Its density of states at the Fermi level is 6.08 states/eV/f.u.

Number 1: calculated volume 29.967 Å³/atom, theoretical density 2.27 g cm⁻³. Number 2: calculated volume 26.078 Å³/atom, theoretical density 4.42 g cm⁻³. Number 3: calculated volume 14.684 Å³/atom, theoretical density 14.87 g cm⁻³. Number 4: calculated volume 32.285 Å³/atom, theoretical density 6.09 g cm⁻³. Number 5: calculated volume 16.971 Å³/atom, theoretical density 12.50 g cm⁻³. Number 6: calculated volume 11.688 Å³/atom, theoretical density 11.39 g cm⁻³. Number 7: calculated volume 23.479 Å³/atom, theoretical density 11.28 g cm⁻³. Number 8: calculated volume 30.388 Å³/atom, theoretical density 7.39 g cm⁻³.